Ca2MgCdP, optimized geometry, DFT PBE-GGA; V = 148.2 Å³ per cell; calculated total energy = -2.84 eV/atom
1.0
-2.1556 1.8327 4.7158
-4.9312 0.3859 -2.4040
-1.0086 -4.6070 1.3294
P Ca Mg Cd
1 2 1 1
Direct
0.0000 0.0000 0.0000
0.0000 0.5000 0.0000
0.5000 0.0000 0.0000
0.0000 0.0000 0.5000
0.5000 0.5000 0.5000



Ca2MgCdPd, optimized geometry, DFT PBE-GGA; V = 154.0 Å³ per cell; calculated total energy = -2.64 eV/atom
1.0
-0.0502 -5.3908 1.1231
5.2200 -0.4042 -1.7068
1.6171 0.9676 4.7165
Ca Mg Pd Cd
2 1 1 1
Direct
0.0000 0.5000 0.0000
0.5000 0.0000 0.0000
0.0000 0.0000 0.5000
0.0000 0.0000 0.0000
0.5000 0.5000 0.5000